An optimized crystal structure of Sr3Mg. Source: Alexandria, functional GGA-PBE.

## Properties
energy of formation from the pure elements: 38 meV per atom
E: -6.5 eV per cell

Cell and atoms, written as CIF:
```
data_Sr3Mg
_symmetry_space_group_name_H-M 'P m -3 m'
_symmetry_Int_Tables_number 221
_symmetry_space_group_name_Hall '-P 4 2 3'
_cell_length_a 5.665
_cell_length_b 5.665
_cell_length_c 5.665
_cell_angle_alpha 90.00
_cell_angle_beta 90.00
_cell_angle_gamma 90.00
loop_
_atom_site_label
_atom_site_type_symbol
_atom_site_fract_x
_atom_site_fract_y
_atom_site_fract_z
Sr1 Sr 0.000 0.000 0.500
Mg1 Mg 0.500 0.500 0.500
```

An optimized crystal structure of Sr4Mg. Source: Alexandria, functional GGA-PBE.

## Properties
energy of formation from the pure elements: -7 meV per atom
E: -16.7 eV per cell
E above lowest polymorph: 0.010 eV/atom

Cell and atoms, written as CIF:
```
data_Sr4Mg
_symmetry_space_group_name_H-M 'I 4/m'
_symmetry_Int_Tables_number 87
_symmetry_space_group_name_Hall '-I 4'
_cell_length_a 10.547
_cell_length_b 10.547
_cell_length_c 4.312
_cell_angle_alpha 90.00
_cell_angle_beta 90.00
_cell_angle_gamma 90.00
loop_
_atom_site_label
_atom_site_type_symbol
_atom_site_fract_x
_atom_site_fract_y
_atom_site_fract_z
Sr1 Sr 0.076 0.731 0.000
Mg1 Mg 0.000 0.000 0.500
```

An optimized crystal structure of Sr13Mg2. Source: Alexandria, functional GGA-PBE.

## Properties
energy of formation from the pure elements: 18 meV per atom
E: -24.8 eV per cell

Cell and atoms, written as CIF:
```
data_Sr13Mg2
_symmetry_space_group_name_H-M 'P -1'
_symmetry_Int_Tables_number 2
_cell_length_a 7.601
_cell_length_b 9.975
_cell_length_c 10.914
_cell_angle_alpha 68.51
_cell_angle_beta 79.49
_cell_angle_gamma 81.32
loop_
_symmetry_equiv_pos_as_xyz
'x,y,z'
'-x,-y,-z'
loop_
_atom_site_label
_atom_site_type_symbol
_atom_site_fract_x
_atom_site_fract_y
_atom_site_fract_z
Sr1 Sr 0.000 0.000 0.000
Sr2 Sr 0.042 0.419 0.701
Sr3 Sr 0.208 0.174 0.236
Sr4 Sr 0.256 0.594 0.943
Sr5 Sr 0.276 0.998 0.642
Sr6 Sr 0.446 0.383 0.409
Sr7 Sr 0.475 0.798 0.157
Mg1 Mg 0.137 0.786 0.461
```

An optimized crystal structure of Sr3Mg5. Source: Alexandria, functional GGA-PBE.

## Properties
energy of formation from the pure elements: 12 meV per atom
E: -25.8 eV per cell
E above lowest polymorph: 0.000 eV/atom

Cell and atoms, written as CIF:
```
data_Sr3Mg5
_symmetry_space_group_name_H-M 'C m m m'
_symmetry_Int_Tables_number 65
_symmetry_space_group_name_Hall '-C 2 2'
_cell_length_a 8.159
_cell_length_b 11.597
_cell_length_c 5.626
_cell_angle_alpha 90.00
_cell_angle_beta 90.00
_cell_angle_gamma 90.00
loop_
_atom_site_label
_atom_site_type_symbol
_atom_site_fract_x
_atom_site_fract_y
_atom_site_fract_z
Sr1 Sr 0.000 0.000 0.000
Sr2 Sr 0.000 0.250 0.500
Mg1 Mg 0.000 0.500 0.000
Mg2 Mg 0.222 0.500 0.500
Mg3 Mg 0.250 0.250 0.000
```

An optimized crystal structure of SrMg5. Source: Alexandria, functional GGA-PBE.

## Properties
energy of formation from the pure elements: -8 meV per atom
E: -38.8 eV per cell
E above lowest polymorph: 0.034 eV/atom

Cell and atoms, written as CIF:
```
data_SrMg5
_symmetry_space_group_name_H-M 'F -4 3 m'
_symmetry_Int_Tables_number 216
_symmetry_space_group_name_Hall 'F -4 2 3'
_cell_length_a 8.712
_cell_length_b 8.712
_cell_length_c 8.712
_cell_angle_alpha 90.00
_cell_angle_beta 90.00
_cell_angle_gamma 90.00
loop_
_atom_site_label
_atom_site_type_symbol
_atom_site_fract_x
_atom_site_fract_y
_atom_site_fract_z
Sr1 Sr 0.000 0.000 0.000
Mg1 Mg 0.125 0.125 0.625
Mg2 Mg 0.250 0.250 0.250
```

An optimized crystal structure of Sr3Mg. Source: Alexandria, functional GGA-PBE.

## Properties
energy of formation from the pure elements: 54 meV per atom
E: -25.7 eV per cell

Cell and atoms, written as CIF:
```
data_Sr3Mg
_symmetry_space_group_name_H-M 'F m -3 m'
_symmetry_Int_Tables_number 225
_symmetry_space_group_name_Hall '-F 4 2 3'
_cell_length_a 8.899
_cell_length_b 8.899
_cell_length_c 8.899
_cell_angle_alpha 90.00
_cell_angle_beta 90.00
_cell_angle_gamma 90.00
loop_
_atom_site_label
_atom_site_type_symbol
_atom_site_fract_x
_atom_site_fract_y
_atom_site_fract_z
Sr1 Sr 0.000 0.000 0.000
Sr2 Sr 0.250 0.250 0.250
Mg1 Mg 0.000 0.000 0.500
```

An optimized crystal structure of SrMg. Source: Alexandria, functional GGA-PBE.

## Properties
energy of formation from the pure elements: -27 meV per atom
E: -13.3 eV per cell

Cell and atoms, written as CIF:
```
data_SrMg
_symmetry_space_group_name_H-M 'I m m a'
_symmetry_Int_Tables_number 74
_symmetry_space_group_name_Hall '-I 2b 2'
_cell_length_a 3.998
_cell_length_b 6.046
_cell_length_c 12.205
_cell_angle_alpha 90.00
_cell_angle_beta 90.00
_cell_angle_gamma 90.00
loop_
_atom_site_label
_atom_site_type_symbol
_atom_site_fract_x
_atom_site_fract_y
_atom_site_fract_z
Sr1 Sr 0.000 0.250 0.103
Mg1 Mg 0.000 0.250 0.653
```

An optimized crystal structure of SrMg. Source: Alexandria, functional GGA-PBE.

## Properties
energy of formation from the pure elements: 37 meV per atom
E: -19.2 eV per cell

Cell and atoms, written as CIF:
```
data_SrMg
_symmetry_space_group_name_H-M 'R -3 m'
_symmetry_Int_Tables_number 166
_symmetry_space_group_name_Hall '-R 3 2"'
_cell_length_a 5.7955
_cell_length_b 5.7955
_cell_length_c 14.2170
_cell_angle_alpha 90.00
_cell_angle_beta 90.00
_cell_angle_gamma 120.00
loop_
_atom_site_label
_atom_site_type_symbol
_atom_site_fract_x
_atom_site_fract_y
_atom_site_fract_z
Sr1 Sr 0.0000 0.0000 0.1248
Mg1 Mg 0.0000 0.0000 0.3746
```

An optimized crystal structure of Sr3Mg. Source: Alexandria, functional GGA-PBE.

## Properties
energy of formation from the pure elements: 26 meV per atom
E: -13.1 eV per cell

Cell and atoms, written as CIF:
```
data_Sr3Mg
_symmetry_space_group_name_H-M 'P 63/m m c'
_symmetry_Int_Tables_number 194
_symmetry_space_group_name_Hall '-P 6c 2c'
_cell_length_a 8.0093
_cell_length_b 8.0093
_cell_length_c 6.4627
_cell_angle_alpha 90.00
_cell_angle_beta 90.00
_cell_angle_gamma 120.00
loop_
_atom_site_label
_atom_site_type_symbol
_atom_site_fract_x
_atom_site_fract_y
_atom_site_fract_z
Sr1 Sr 0.1713 0.3425 0.2500
Mg1 Mg 0.3333 0.6667 0.7500
```

An optimized crystal structure of SrMg5. Source: Alexandria, functional GGA-PBE.

## Properties
energy of formation from the pure elements: 18 meV per atom
E: -19.1 eV per cell
E above lowest polymorph: 0.060 eV/atom

Cell and atoms, written as CIF:
```
data_SrMg5
_symmetry_space_group_name_H-M 'C m m m'
_symmetry_Int_Tables_number 65
_symmetry_space_group_name_Hall '-C 2 2'
_cell_length_a 4.741
_cell_length_b 13.940
_cell_length_c 5.010
_cell_angle_alpha 90.00
_cell_angle_beta 90.00
_cell_angle_gamma 90.00
loop_
_atom_site_label
_atom_site_type_symbol
_atom_site_fract_x
_atom_site_fract_y
_atom_site_fract_z
Sr1 Sr 0.000 0.000 0.000
Mg1 Mg 0.000 0.173 0.500
Mg2 Mg 0.000 0.319 0.000
Mg3 Mg 0.000 0.500 0.500
```

An optimized crystal structure of Sr4Mg. Source: Alexandria, functional GGA-PBE.

## Properties
energy of formation from the pure elements: 187 meV per atom
E: -7.4 eV per cell
E above lowest polymorph: 0.204 eV/atom

Cell and atoms, written as CIF:
```
data_Sr4Mg
_symmetry_space_group_name_H-M 'P m -3 m'
_symmetry_Int_Tables_number 221
_symmetry_space_group_name_Hall '-P 4 2 3'
_cell_length_a 6.541
_cell_length_b 6.541
_cell_length_c 6.541
_cell_angle_alpha 90.00
_cell_angle_beta 90.00
_cell_angle_gamma 90.00
loop_
_atom_site_label
_atom_site_type_symbol
_atom_site_fract_x
_atom_site_fract_y
_atom_site_fract_z
Sr1 Sr 0.000 0.000 0.000
Sr2 Sr 0.000 0.500 0.500
Mg1 Mg 0.500 0.500 0.500
```

An optimized crystal structure of SrMg5. Source: Alexandria, functional GGA-PBE.

## Properties
energy of formation from the pure elements: 22 meV per atom
E: -19.0 eV per cell
E above lowest polymorph: 0.065 eV/atom

Cell and atoms, written as CIF:
```
data_SrMg5
_symmetry_space_group_name_H-M 'C 1 m 1'
_symmetry_Int_Tables_number 8
_cell_length_a 11.932
_cell_length_b 3.818
_cell_length_c 7.616
_cell_angle_alpha 90.00
_cell_angle_beta 108.35
_cell_angle_gamma 90.00
loop_
_symmetry_equiv_pos_as_xyz
'x,y,z'
'x,-y,z'
'x+1/2,y+1/2,z'
'x+1/2,-y+1/2,z'
loop_
_atom_site_label
_atom_site_type_symbol
_atom_site_fract_x
_atom_site_fract_y
_atom_site_fract_z
Sr1 Sr 0.000 0.000 0.000
Mg1 Mg 0.000 0.000 0.502
Mg2 Mg 0.170 0.500 0.368
Mg3 Mg 0.185 0.500 0.810
Mg4 Mg 0.316 0.000 0.192
Mg5 Mg 0.329 0.000 0.632
```

Question: What is the formula in the first record?
Answer: Sr3Mg

Question: The lowest energy of formation from the pure elements belongs to which entry?
Answer: number 7

Question: Among the records above, which one has the lowest E?
Answer: number 5